{"formula": "YTeSN2", "functional": "GGA-PBE", "state": "optimized geometry", "e_form_raw_ev_per_atom": 1.000, "de_polymorph_ev_per_atom": 0.660, "e_tot_ev_per_cell": -25.4, "lattice": [[4.160, 0.000, 0.000], [0.000, 4.160, 0.000], [0.000, 0.000, 4.935]], "species": ["Y", "Te", "S", "N", "N"], "fractional_positions": [[0.000, 0.000, 0.000], [0.500, 0.500, 0.000], [0.500, 0.500, 0.500], [0.000, 0.500, 0.500], [0.500, 0.000, 0.500]]}